(1)
# PBE Li4Ag3, optimized geometry
# * formation energy: -0.191 eV per atom
# * E: -2.507 eV per atom
# * N(E_F): 0.266 states/eV/atom
# * size of the total moment: 0.0 μB per cell
data_Li4Ag3
_chemical_formula_sum 'Li4 Ag3'
_symmetry_space_group_name_H-M 'P 1'
_symmetry_Int_Tables_number 1
_symmetry_space_group_name_Hall 'P 1'
_cell_length_a 10.588
_cell_length_b 10.588
_cell_length_c 10.588
_cell_angle_alpha 164.01
_cell_angle_beta 159.70
_cell_angle_gamma 25.95
loop_
_atom_site_label
_atom_site_type_symbol
_atom_site_fract_x
_atom_site_fract_y
_atom_site_fract_z
Li1 Li 0.072 0.072 0.000
Li2 Li 0.213 0.213 0.000
Li3 Li 0.787 0.787 0.000
Li4 Li 0.928 0.928 0.000
Ag1 Ag 0.355 0.355 0.000
Ag2 Ag 0.500 0.500 0.000
Ag3 Ag 0.645 0.645 0.000


(2)
# PBE SrNiCl, optimized geometry
# * E: -3.419 eV per atom
# * N(E_F): 2.066 states/eV/atom
# * E_form (uncorrected): -0.316 eV per atom
# * size of the total moment: 1.0 μB per cell
data_SrNiCl
_chemical_formula_sum 'Sr1 Ni1 Cl1'
_symmetry_space_group_name_H-M 'P 1'
_symmetry_Int_Tables_number 1
_symmetry_space_group_name_Hall 'P 1'
_cell_length_a 5.075
_cell_length_b 5.075
_cell_length_c 5.075
_cell_angle_alpha 60.00
_cell_angle_beta 60.00
_cell_angle_gamma 60.00
loop_
_atom_site_label
_atom_site_type_symbol
_atom_site_fract_x
_atom_site_fract_y
_atom_site_fract_z
Sr1 Sr 0.000 0.000 0.000
Ni1 Ni 0.250 0.250 0.250
Cl1 Cl 0.750 0.750 0.750


(3)
# PBE AcCdSi2Pt5, optimized geometry
# * E: -5.818 eV per atom
# * N(E_F): 0.351 states/eV/atom
# * E_form (uncorrected): -0.699 eV per atom
# * size of the total moment: 0.0 μB per cell
data_AcCdSi2Pt5
_chemical_formula_sum 'Ac1 Cd1 Si2 Pt5'
_symmetry_space_group_name_H-M 'P 1'
_symmetry_Int_Tables_number 1
_symmetry_space_group_name_Hall 'P 1'
_cell_length_a 4.159
_cell_length_b 4.159
_cell_length_c 10.864
_cell_angle_alpha 90.00
_cell_angle_beta 90.00
_cell_angle_gamma 90.00
loop_
_atom_site_label
_atom_site_type_symbol
_atom_site_fract_x
_atom_site_fract_y
_atom_site_fract_z
Ac1 Ac 0.000 0.000 0.000
Cd1 Cd 0.000 0.000 0.500
Si1 Si 0.500 0.500 0.218
Si2 Si 0.500 0.500 0.782
Pt1 Pt 0.000 0.500 0.321
Pt2 Pt 0.000 0.500 0.679
Pt3 Pt 0.500 0.000 0.321
Pt4 Pt 0.500 0.000 0.679
Pt5 Pt 0.500 0.500 0.000


(4)
# PBE Ac8La2Pr, optimized geometry
# * formation energy: 0.346 eV per atom
# * E: -3.972 eV per atom
# * N(E_F): 1.564 states/eV/atom
# * size of the total moment: 0.0 μB per cell
data_Ac8La2Pr
_chemical_formula_sum 'Ac8 La2 Pr1'
_symmetry_space_group_name_H-M 'P 1'
_symmetry_Int_Tables_number 1
_symmetry_space_group_name_Hall 'P 1'
_cell_length_a 9.106
_cell_length_b 9.106
_cell_length_c 6.330
_cell_angle_alpha 98.63
_cell_angle_beta 98.63
_cell_angle_gamma 86.79
loop_
_atom_site_label
_atom_site_type_symbol
_atom_site_fract_x
_atom_site_fract_y
_atom_site_fract_z
Ac1 Ac 0.079 0.079 0.290
Ac2 Ac 0.133 0.643 0.205
Ac3 Ac 0.357 0.867 0.795
Ac4 Ac 0.358 0.358 0.491
Ac5 Ac 0.642 0.642 0.509
Ac6 Ac 0.643 0.133 0.205
Ac7 Ac 0.867 0.357 0.795
Ac8 Ac 0.921 0.921 0.710
La1 La 0.236 0.236 0.915
La2 La 0.764 0.764 0.085
Pr1 Pr 0.500 0.500 0.000


(5)
# PBE LiCr2Mo, optimized geometry
# * formation energy: 0.500 eV per atom
# * E: -7.498 eV per atom
# * N(E_F): 0.561 states/eV/atom
# * size of the total moment: 0.0 μB per cell
data_LiCr2Mo
_chemical_formula_sum 'Li1 Cr2 Mo1'
_symmetry_space_group_name_H-M 'P 1'
_symmetry_Int_Tables_number 1
_symmetry_space_group_name_Hall 'P 1'
_cell_length_a 4.965
_cell_length_b 4.965
_cell_length_c 2.436
_cell_angle_alpha 90.00
_cell_angle_beta 90.00
_cell_angle_gamma 118.59
loop_
_atom_site_label
_atom_site_type_symbol
_atom_site_fract_x
_atom_site_fract_y
_atom_site_fract_z
Li1 Li 0.000 0.000 0.000
Cr1 Cr 0.000 0.500 0.500
Cr2 Cr 0.500 0.000 0.500
Mo1 Mo 0.500 0.500 0.000


(6)
# PBE Na2CaTeRh, optimized geometry
# * E: -3.010 eV per atom
# * N(E_F): 0.687 states/eV/atom
# * E_form (uncorrected): 0.016 eV per atom
# * size of the total moment: 0.0 μB per cell
data_Na2CaTeRh
_chemical_formula_sum 'Na2 Ca1 Te1 Rh1'
_symmetry_space_group_name_H-M 'P 1'
_symmetry_Int_Tables_number 1
_symmetry_space_group_name_Hall 'P 1'
_cell_length_a 5.688
_cell_length_b 5.688
_cell_length_c 4.982
_cell_angle_alpha 90.00
_cell_angle_beta 90.00
_cell_angle_gamma 90.00
loop_
_atom_site_label
_atom_site_type_symbol
_atom_site_fract_x
_atom_site_fract_y
_atom_site_fract_z
Na1 Na 0.000 0.500 0.000
Na2 Na 0.500 0.000 0.000
Ca1 Ca 0.000 0.000 0.500
Te1 Te 0.500 0.500 0.000
Rh1 Rh 0.500 0.500 0.500


(7)
# PBE TiBe, optimized geometry
# * formation energy: -0.146 eV per atom
# * E: -5.957 eV per atom
# * N(E_F): 0.316 states/eV/atom
# * size of the total moment: 0.0 μB per cell
data_TiBe
_chemical_formula_sum 'Ti1 Be1'
_symmetry_space_group_name_H-M 'P 1'
_symmetry_Int_Tables_number 1
_symmetry_space_group_name_Hall 'P 1'
_cell_length_a 2.932
_cell_length_b 2.932
_cell_length_c 2.932
_cell_angle_alpha 90.00
_cell_angle_beta 90.00
_cell_angle_gamma 90.00
loop_
_atom_site_label
_atom_site_type_symbol
_atom_site_fract_x
_atom_site_fract_y
_atom_site_fract_z
Ti1 Ti 0.000 0.000 0.000
Be1 Be 0.500 0.500 0.500


(8)
# PBE Te2MoBr, optimized geometry
# * E: -4.345 eV per atom
# * N(E_F): 1.004 states/eV/atom
# * E_form (uncorrected): 0.352 eV per atom
# * size of the total moment: 0.9 μB per cell
data_Te2MoBr
_chemical_formula_sum 'Te2 Mo1 Br1'
_symmetry_space_group_name_H-M 'P 1'
_symmetry_Int_Tables_number 1
_symmetry_space_group_name_Hall 'P 1'
_cell_length_a 3.246
_cell_length_b 3.246
_cell_length_c 11.452
_cell_angle_alpha 90.00
_cell_angle_beta 90.00
_cell_angle_gamma 118.22
loop_
_atom_site_label
_atom_site_type_symbol
_atom_site_fract_x
_atom_site_fract_y
_atom_site_fract_z
Te1 Te 0.000 0.000 0.000
Te2 Te 0.500 0.500 0.306
Mo1 Mo 0.000 0.000 0.498
Br1 Br 0.500 0.500 0.673


- What is the N(E_F) in the fourth record?
  1.564 states/eV/atom


- Look up the E of the fourth one.
  -3.972 eV per atom